DFT (PBE-GGA) results for an optimized crystal structure of TaPHCl2.

Output
- spin magnetization (μB per atom) = 0.155
- SG = P4/mmm (123)
- volume (Å³/f.u.) = 116.2
- E_tot (eV/atom) = -4.721
- energy above the most stable polymorph in this dataset (kJ/mol of atoms) = 0.0

a b c (Å): 4.9114 4.9114 4.8172
angles (deg): 90.00 90.00 90.00
Atoms (fractional coordinates):
Ta 0.0000 0.0000 0.0000
P 0.0000 0.0000 0.5000
H 0.5000 0.5000 0.5000
Cl 0.0000 0.5000 0.0000
Cl 0.5000 0.0000 0.0000

DFT (PBE-GGA) results for an optimized crystal structure of K2MgTc.

Output
- formation enthalpy at 0 K (eV per atom) = 1.10
- spin magnetization (μB per atom) = 0.142
- SG = P2/m (10)
- volume (Å³/f.u.) = 102.7
- E_tot (eV/atom) = -2.442

a b c (Å): 2.9005 6.0953 5.8306
angles (deg): 90.00 94.64 90.00
Atoms (fractional coordinates):
K 0.2316 0.0000 0.2403
K 0.7684 0.0000 0.7597
Mg 0.0000 0.5000 0.5000
Tc 0.5000 0.5000 0.0000